# 1
Density functional theory data (PBEsol) for a relaxed TaPtO2 crystal.

Summary:
The mass density is 15.4 g/cm³. The value obtained for the uncorrected energy is -125.912 eV/cell. The value obtained for the energy relative to the elements, uncorrected is -0.37 eV per atom. Its crystal system is cubic. The calculation puts the excess energy over the best structure of this formula in the dataset at 733 meV/atom.

Unit cell a=5.607 b=5.607 c=5.607 alpha=90.00 beta=90.00 gamma=90.00
Space group Fm-3m (No. 225)
Asymmetric unit:
Ta: 0.000 0.000 0.000 (multiplicity 4)
Pt: 0.000 0.000 0.500 (multiplicity 4)
O: 0.250 0.250 0.250 (multiplicity 8)



# 2
Density functional theory data (PBEsol) for a relaxed LaSi2P6 crystal.

Summary:
The mass density is 3.5 g/cm³. The value obtained for the uncorrected energy is -893.266 eV/cell. The value obtained for the energy relative to the elements, uncorrected is -0.47 eV per atom. Its crystal system is orthorhombic.

Unit cell a=10.099 b=27.927 c=10.269 alpha=90.00 beta=90.00 gamma=90.00
Space group Cmc2_1 (No. 36)
Asymmetric unit:
La: 0.000 0.042 0.000 (multiplicity 4)
La: 0.000 0.234 0.462 (multiplicity 4)
La: 0.000 0.311 0.977 (multiplicity 4)
La: 0.000 0.419 0.578 (multiplicity 4)
Si: 0.160 0.080 0.398 (multiplicity 8)
Si: 0.170 0.433 0.218 (multiplicity 8)
Si: 0.172 0.178 0.190 (multiplicity 8)
Si: 0.178 0.165 0.856 (multiplicity 8)
P: 0.000 0.041 0.295 (multiplicity 4)
P: 0.000 0.078 0.720 (multiplicity 4)
P: 0.000 0.157 0.719 (multiplicity 4)
P: 0.000 0.228 0.170 (multiplicity 4)
P: 0.000 0.317 0.690 (multiplicity 4)
P: 0.000 0.345 0.367 (multiplicity 4)
P: 0.000 0.425 0.937 (multiplicity 4)
P: 0.000 0.470 0.113 (multiplicity 4)
P: 0.153 0.046 0.597 (multiplicity 8)
P: 0.154 0.353 0.217 (multiplicity 8)
P: 0.160 0.458 0.821 (multiplicity 8)
P: 0.167 0.265 0.690 (multiplicity 8)
P: 0.202 0.470 0.408 (multiplicity 8)
P: 0.206 0.157 0.401 (multiplicity 8)
P: 0.210 0.121 0.039 (multiplicity 8)
P: 0.210 0.242 0.891 (multiplicity 8)



# 3
Density functional theory data (PBEsol) for a relaxed HfFeGe2 crystal.

Summary:
The mass density is 10.4 g/cm³. The value obtained for the uncorrected energy is -118.434 eV/cell. The calculation puts the energy of formation at -66 meV per atom. Its crystal system is cubic.

Unit cell a=6.242 b=6.242 c=6.242 alpha=90.00 beta=90.00 gamma=90.00
Space group Fm-3m (No. 225)
Asymmetric unit:
Hf: 0.000 0.000 0.000 (multiplicity 4)
Fe: 0.000 0.000 0.500 (multiplicity 4)
Ge: 0.250 0.250 0.250 (multiplicity 8)



# 4
Density functional theory data (PBEsol) for a relaxed Li2MnCl2 crystal.

Summary:
The mass density is 2.0 g/cm³. The value obtained for the uncorrected energy is -40.407 eV/cell. The value obtained for the energy relative to the elements, uncorrected is -0.50 eV per atom. Its crystal system is tetragonal.

Unit cell a=4.579 b=4.579 c=10.814 alpha=90.00 beta=90.00 gamma=90.00
Space group I4/mmm (No. 139)
Asymmetric unit:
Li: 0.000 0.000 0.179 (multiplicity 4)
Mn: 0.000 0.000 0.500 (multiplicity 2)
Cl: 0.000 0.500 0.250 (multiplicity 4)



Question: Among the records above, which one has the highest mass density?
Answer: TaPtO2



Question: Which value of uncorrected energy does entry 4 give?
Answer: -40.407 eV/cell



Question: What is the mass density in the third record?
Answer: 10.4 g/cm³